# Li4Pd4Pt

Crystalline Li4Pd4Pt at its relaxed geometry (GGA-PBE, Alexandria via LeMat-Bulk).

Values from the calculation:
Energy of formation (meV per atom): -388
Crystal system: tetragonal
Density of states at the Fermi level (states/eV/cell): 5.65
Volume (Å³ per atom): 14.41
Total moment (μB per formula unit): 0.0

Cell: 3.9683 6.0521 6.0521 Å, 83.83 70.86 70.86°
Fractional positions:
Pd1 0.0000 0.6689 0.3312
Pd2 0.0000 0.3311 0.6688
Pd3 0.3312 0.6688 0.6689
Pd4 0.6688 0.3312 0.3311
Li1 0.3352 0.9999 0.3297
Li2 0.6649 0.6703 0.9999
Li3 0.3351 0.3297 0.0001
Li4 0.6648 0.0001 0.6703
Pt1 0.0000 0.0000 0.0000